VTeW2Se after structural relaxation. Source: the Alexandria database, functional PBE-GGA.

raw total energy	-6.72	eV per atom
DOS at the Fermi energy	5.32	states/eV/cell
raw formation energy	8.07	eV/f.u.

Cell: 4.728 4.728 4.772 Å, 90.00 90.00 90.00°
Space group P4/mmm (No. 123)
Unique sites:
V (0.000, 0.000, 0.000) (multiplicity 1)
Te (0.000, 0.000, 0.500) (multiplicity 1)
W (0.000, 0.500, 0.000) (multiplicity 2)
Se (0.500, 0.500, 0.500) (multiplicity 1)

VTe2W2Se4 after structural relaxation. Source: the Alexandria database, functional PBE-GGA.

raw total energy	-6.59	eV per atom
DOS at the Fermi energy	2.69	states/eV/cell
raw formation energy	-4.03	eV/f.u.

Cell: 3.3890 3.3890 22.5411 Å, 90.00 90.00 120.00°
Space group P3m1 (No. 156)
Unique sites:
V (0.0000, 0.0000, 0.0000) (multiplicity 1)
Te (0.6667, 0.3333, 0.0812) (multiplicity 1)
Te (0.6667, 0.3333, 0.9187) (multiplicity 1)
W (0.0000, 0.0000, 0.6438) (multiplicity 1)
W (0.6667, 0.3333, 0.3273) (multiplicity 1)
Se (0.0000, 0.0000, 0.2537) (multiplicity 1)
Se (0.0000, 0.0000, 0.4009) (multiplicity 1)
Se (0.6667, 0.3333, 0.5702) (multiplicity 1)
Se (0.6667, 0.3333, 0.7173) (multiplicity 1)

TeW2Se after structural relaxation. Source: the Alexandria database, functional PBE-GGA.

raw total energy	-7.46	eV per atom
DOS at the Fermi energy	15.37	states/eV/cell
raw formation energy	2.71	eV/f.u.
excess energy over the best structure of this formula in the dataset	0.578	eV/atom

Cell: 6.511 6.511 6.511 Å, 90.00 90.00 90.00°
Space group Fm-3m (No. 225)
Unique sites:
Te (0.000, 0.000, 0.000) (multiplicity 4)
W (0.250, 0.250, 0.250) (multiplicity 8)
Se (0.000, 0.000, 0.500) (multiplicity 4)

TeW2Se after structural relaxation. Source: the Alexandria database, functional PBE-GGA.

raw total energy	-7.25	eV per atom
DOS at the Fermi energy	5.45	states/eV/cell
raw formation energy	3.53	eV/f.u.
excess energy over the best structure of this formula in the dataset	0.782	eV/atom

Cell: 4.274 4.274 7.958 Å, 90.00 90.00 90.00°
Space group I-4m2 (No. 119)
Unique sites:
Te (0.000, 0.000, 0.000) (multiplicity 2)
W (0.000, 0.000, 0.500) (multiplicity 2)
W (0.000, 0.500, 0.750) (multiplicity 2)
Se (0.000, 0.500, 0.250) (multiplicity 2)

> Number 4 is which compound?

TeW2Se

Copy entry 3 word for word.
TeW2Se after structural relaxation. Source: the Alexandria database, functional PBE-GGA.

raw total energy	-7.46	eV per atom
DOS at the Fermi energy	15.37	states/eV/cell
raw formation energy	2.71	eV/f.u.
excess energy over the best structure of this formula in the dataset	0.578	eV/atom

Cell: 6.511 6.511 6.511 Å, 90.00 90.00 90.00°
Space group Fm-3m (No. 225)
Unique sites:
Te (0.000, 0.000, 0.000) (multiplicity 4)
W (0.250, 0.250, 0.250) (multiplicity 8)
Se (0.000, 0.000, 0.500) (multiplicity 4)

> Which of these has the highest raw total energy?

VTe2W2Se4

> raw total energy of number 4 (TeW2Se)?

-7.25 eV per atom